Version P
An optimized crystal structure of SrSiBr2. Source: Alexandria, functional PBE-GGA.

Fermi-level density of states = 1.2 states/eV per cell

abc: 5.0018 5.0018 4.2796
angles: 90.00 90.00 90.00
Space group P4/mmm (No. 123)
Symmetry-distinct sites (fractional):
Sr 0.0000 0.0000 0.0000
Si 0.5000 0.5000 0.0000
Br 0.0000 0.5000 0.5000

=====

Version Q
An optimized crystal structure of SrSiBr2. Source: Alexandria, functional PBE-GGA.

Fermi-level density of states = 12.8 states/eV per cell

abc: 7.6617 7.6617 7.6617
angles: 90.00 90.00 90.00
Space group Fm-3m (No. 225)
Symmetry-distinct sites (fractional):
Sr 0.0000 0.0000 0.0000
Si 0.0000 0.0000 0.5000
Br 0.2500 0.2500 0.2500

=====

Version R
An optimized crystal structure of SrSiBr2. Source: Alexandria, functional PBE-GGA.

Fermi-level density of states = 4.3 states/eV per cell

abc: 4.1602 4.1602 28.7895
angles: 90.00 90.00 120.00
Space group R-3m (No. 166, hexagonal axes)
Symmetry-distinct sites (fractional):
Sr 0.0000 0.0000 0.0000
Si 0.0000 0.0000 0.5000
Br 0.0000 0.0000 0.3979

=====

Going by the energies, version R is most stable and the next is 1.5 kJ/mol of atoms up.

=====

Version P
An optimized crystal structure of SrSiBr2. Source: Alexandria, functional PBE-GGA.

Fermi-level density of states = 2.0 states/eV per cell

abc: 4.6082 3.9548 6.1535
angles: 90.00 90.12 90.00
Space group P2/m (No. 10)
Symmetry-distinct sites (fractional):
Sr 0.0000 0.0000 0.0000
Si 0.0000 0.5000 0.5000
Br 0.5000 0.0000 0.5000
Br 0.5000 0.5000 0.0000

=====

Version Q
An optimized crystal structure of SrSiBr2. Source: Alexandria, functional PBE-GGA.

Fermi-level density of states = 6.5 states/eV per cell

abc: 3.9348 4.3066 15.5224
angles: 90.00 90.00 90.00
Space group Imm2 (No. 44)
Symmetry-distinct sites (fractional):
Sr 0.0000 0.0000 0.0000
Si 0.0000 0.5000 0.3268
Br 0.0000 0.0000 0.5767
Br 0.0000 0.5000 0.8441

=====

Version R
An optimized crystal structure of SrSiBr2. Source: Alexandria, functional PBE-GGA.

Fermi-level density of states = 5.0 states/eV per cell

abc: 5.1982 5.1982 19.1401
angles: 90.00 90.00 90.00
Space group I-42d (No. 122)
Symmetry-distinct sites (fractional):
Sr 0.0000 0.0000 0.0000
Si 0.0000 0.0000 0.5000
Br 0.2245 0.2500 0.6250

=====

Version S
An optimized crystal structure of SrSiBr2. Source: Alexandria, functional PBE-GGA.

Fermi-level density of states = 1.7 states/eV per cell

abc: 4.1586 4.8905 6.1432
angles: 90.00 90.00 90.00
Space group Pmm2 (No. 25)
Symmetry-distinct sites (fractional):
Sr 0.0000 0.0000 0.0000
Si 0.5000 0.5000 0.8089
Br 0.0000 0.0000 0.5072
Br 0.5000 0.5000 0.2111

=====

Going by the energies, version Q is most stable and the next is 1.5 kJ/mol of atoms up.

=====

Version P
An optimized crystal structure of SrSiBr2. Source: Alexandria, functional PBE-GGA.

Fermi-level density of states = 4.4 states/eV per cell

abc: 7.1284 8.4900 5.5422
angles: 90.00 129.69 90.00
Space group C2/m (No. 12)
Symmetry-distinct sites (fractional):
Sr 0.0000 0.0000 0.0000
Si 0.0000 0.5000 0.0000
Br 0.2500 0.2500 0.5000

=====

Version Q
An optimized crystal structure of SrSiBr2. Source: Alexandria, functional PBE-GGA.

Fermi-level density of states = 0.4 states/eV per cell

abc: 3.8740 3.8740 8.6366
angles: 90.00 90.00 90.00
Space group P4mm (No. 99)
Symmetry-distinct sites (fractional):
Sr 0.0000 0.0000 0.0000
Si 0.5000 0.5000 0.7102
Br 0.0000 0.0000 0.6378
Br 0.5000 0.5000 0.1871

=====

Version R
An optimized crystal structure of SrSiBr2. Source: Alexandria, functional PBE-GGA.

Fermi-level density of states = 1.8 states/eV per cell

abc: 3.6565 3.6565 11.3344
angles: 90.00 90.00 90.00
Space group P4/mmm (No. 123)
Symmetry-distinct sites (fractional):
Sr 0.0000 0.0000 0.0000
Si 0.0000 0.0000 0.5000
Br 0.5000 0.5000 0.1575

=====

Going by the energies, version P is most stable and the next is 1.4 kJ/mol of atoms up.

=====

Version P
An optimized crystal structure of SrSiBr2. Source: Alexandria, functional PBE-GGA.

Fermi-level density of states = 1.5 states/eV per cell

abc: 5.3534 4.4518 5.3981
angles: 90.00 97.61 90.00
Space group P2/m (No. 10)
Symmetry-distinct sites (fractional):
Sr 0.0000 0.0000 0.0000
Si 0.5000 0.0000 0.5000
Br 0.2668 0.5000 0.7332

=====

Version Q
An optimized crystal structure of SrSiBr2. Source: Alexandria, functional PBE-GGA.

Fermi-level density of states = 6.5 states/eV per cell

abc: 4.1665 4.1665 33.6374
angles: 90.00 90.00 120.00
Space group R-3m (No. 166, hexagonal axes)
Symmetry-distinct sites (fractional):
Sr 0.0000 0.0000 0.0000
Si 0.0000 0.0000 0.5000
Br 0.0000 0.0000 0.2797

=====

Going by the energies, version P is most stable and the next is 4.1 kJ/mol of atoms up.

=====

Version P
An optimized crystal structure of SrSi3Br. Source: Alexandria, functional PBE-GGA.

Fermi-level density of states = 5.2 states/eV per cell

abc: 5.8312 5.8312 5.8312
angles: 90.00 90.00 90.00
Space group Pm-3m (No. 221)
Symmetry-distinct sites (fractional):
Sr 0.0000 0.0000 0.0000
Si 0.0000 0.0000 0.5000
Br 0.5000 0.5000 0.5000

=====

Version Q
An optimized crystal structure of SrSi3Br. Source: Alexandria, functional PBE-GGA.

Fermi-level density of states = 4.7 states/eV per cell

abc: 5.1201 5.1201 5.1201
angles: 90.00 90.00 90.00
Space group Pm-3m (No. 221)
Symmetry-distinct sites (fractional):
Sr 0.0000 0.0000 0.0000
Si 0.0000 0.5000 0.5000
Br 0.5000 0.5000 0.5000

=====

Going by the energies, version Q is most stable and the next is 81.3 kJ/mol of atoms up.

=====

Version P
An optimized crystal structure of Ta2SiBr. Source: Alexandria, functional PBE-GGA.

Fermi-level density of states = 2.8 states/eV per cell

abc: 2.9531 2.9531 9.1937
angles: 90.00 90.00 90.00
Space group P4mm (No. 99)
Symmetry-distinct sites (fractional):
Ta 0.0000 0.0000 0.0000
Ta 0.5000 0.5000 0.2415
Si 0.5000 0.5000 0.7889
Br 0.0000 0.0000 0.4392

=====

Version Q
An optimized crystal structure of Ta2SiBr. Source: Alexandria, functional PBE-GGA.

Fermi-level density of states = 6.6 states/eV per cell

abc: 4.0885 4.0885 8.4476
angles: 90.00 90.00 90.00
Space group I-4m2 (No. 119)
Symmetry-distinct sites (fractional):
Ta 0.0000 0.0000 0.0000
Ta 0.0000 0.5000 0.2500
Si 0.0000 0.0000 0.5000
Br 0.0000 0.5000 0.7500

=====

Going by the energies, version P is most stable and the next is 38.5 kJ/mol of atoms up.

=====

Version P
An optimized crystal structure of Ta2SiBr. Source: Alexandria, functional PBE-GGA.

Fermi-level density of states = 4.0 states/eV per cell

abc: 2.9803 4.6722 10.2504
angles: 90.00 90.00 90.00
Space group Imm2 (No. 44)
Symmetry-distinct sites (fractional):
Ta 0.0000 0.0000 0.0000
Ta 0.0000 0.5000 0.2254
Si 0.0000 0.0000 0.5060
Br 0.0000 0.5000 0.7218

=====

Version Q
An optimized crystal structure of Ta2SiBr. Source: Alexandria, functional PBE-GGA.

Fermi-level density of states = 17.7 states/eV per cell

abc: 7.2570 7.2570 5.8882
angles: 90.00 90.00 90.00
Space group I-42d (No. 122)
Symmetry-distinct sites (fractional):
Ta 0.2196 0.2500 0.1250
Si 0.0000 0.0000 0.0000
Br 0.0000 0.0000 0.5000

=====

Version R
An optimized crystal structure of Ta2SiBr. Source: Alexandria, functional PBE-GGA.

Fermi-level density of states = 2.9 states/eV per cell

abc: 3.2373 3.2373 6.9941
angles: 90.00 90.00 90.00
Space group P4/mmm (No. 123)
Symmetry-distinct sites (fractional):
Ta 0.0000 0.0000 0.1936
Si 0.5000 0.5000 0.0000
Br 0.5000 0.5000 0.5000

=====

Version S
An optimized crystal structure of Ta2SiBr. Source: Alexandria, functional PBE-GGA.

Fermi-level density of states = 25.4 states/eV per cell

abc: 6.4561 6.4561 6.4561
angles: 90.00 90.00 90.00
Space group Fm-3m (No. 225)
Symmetry-distinct sites (fractional):
Ta 0.2500 0.2500 0.2500
Si 0.0000 0.0000 0.0000
Br 0.0000 0.0000 0.5000

=====

Going by the energies, version R is most stable and the next is 18.6 kJ/mol of atoms up.

=====

Version P
An optimized crystal structure of TaSiBr2. Source: Alexandria, functional PBE-GGA.

Fermi-level density of states = 2.3 states/eV per cell

abc: 3.1015 4.6741 5.5025
angles: 90.00 90.00 90.00
Space group Pmmm (No. 47)
Symmetry-distinct sites (fractional):
Ta 0.0000 0.0000 0.0000
Si 0.5000 0.0000 0.5000
Br 0.0000 0.5000 0.5000
Br 0.5000 0.5000 0.0000

=====

Version Q
An optimized crystal structure of TaSiBr2. Source: Alexandria, functional PBE-GGA.

Fermi-level density of states = 1.1 states/eV per cell

abc: 3.6805 3.5019 8.2864
angles: 90.00 102.63 90.00
Space group Pm (No. 6)
Symmetry-distinct sites (fractional):
Ta 0.0000 0.0000 0.0000
Si 0.5224 0.5000 0.0455
Br 0.1562 0.0000 0.3173
Br 0.8714 0.5000 0.7387

=====

Going by the energies, version Q is most stable and the next is 89.8 kJ/mol of atoms up.

=====

Version P
An optimized crystal structure of TaSiBr2. Source: Alexandria, functional PBE-GGA.

Fermi-level density of states = 7.8 states/eV per cell

abc: 4.4104 4.4104 8.0451
angles: 90.00 90.00 90.00
Space group I-4m2 (No. 119)
Symmetry-distinct sites (fractional):
Ta 0.0000 0.0000 0.0000
Si 0.0000 0.5000 0.2500
Br 0.0000 0.0000 0.5000
Br 0.0000 0.5000 0.7500

=====

Version Q
An optimized crystal structure of TaSiBr2. Source: Alexandria, functional PBE-GGA.

Fermi-level density of states = 9.6 states/eV per cell

abc: 3.1949 3.1949 34.6740
angles: 90.00 90.00 120.00
Space group R-3m (No. 166, hexagonal axes)
Symmetry-distinct sites (fractional):
Ta 0.0000 0.0000 0.0000
Si 0.0000 0.0000 0.5000
Br 0.0000 0.0000 0.3894

=====

Version R
An optimized crystal structure of TaSiBr2. Source: Alexandria, functional PBE-GGA.

Fermi-level density of states = 5.2 states/eV per cell

abc: 3.1912 3.1912 34.5365
angles: 90.00 90.00 120.00
Space group R-3m (No. 166, hexagonal axes)
Symmetry-distinct sites (fractional):
Ta 0.0000 0.0000 0.0000
Si 0.0000 0.0000 0.5000
Br 0.0000 0.0000 0.2771

=====

Going by the energies, version R is most stable and the next is 1.7 kJ/mol of atoms up.

=====

Version P
An optimized crystal structure of TaSiBr3. Source: Alexandria, functional PBE-GGA.

Fermi-level density of states = 6.9 states/eV per cell

abc: 5.2318 5.2318 5.2318
angles: 90.00 90.00 90.00
Space group Pm-3m (No. 221)
Symmetry-distinct sites (fractional):
Ta 0.0000 0.0000 0.0000
Si 0.5000 0.5000 0.5000
Br 0.0000 0.5000 0.5000

=====

Version Q
An optimized crystal structure of TaSiBr3. Source: Alexandria, functional PBE-GGA.

Fermi-level density of states = 3.8 states/eV per cell

abc: 5.1805 5.1805 5.1805
angles: 90.00 90.00 90.00
Space group Pm-3m (No. 221)
Symmetry-distinct sites (fractional):
Ta 0.0000 0.0000 0.0000
Si 0.5000 0.5000 0.5000
Br 0.0000 0.0000 0.5000

=====

Going by the energies, version Q is most stable and the next is 43.5 kJ/mol of atoms up.